Entry 1:
# Pr3Ni3Sn, optimized geometry, DFT PBE
# - raw total energy (eV/atom) = -5.24
# - density of states at the Fermi level (states/eV/cell) = 14.83
# - formation enthalpy at 0 K (eV per atom) = -0.142
# - E above lowest polymorph (eV/atom) = 0.298
data_Pr3Ni3Sn
_cell_length_a 8.712
_cell_length_b 8.712
_cell_length_c 5.569
_cell_angle_alpha 90.00
_cell_angle_beta 90.00
_cell_angle_gamma 120.00
_symmetry_space_group_name_H-M 'P 1'
_symmetry_Int_Tables_number 1
_symmetry_space_group_name_Hall 'P 1'
loop_
_atom_site_label
_atom_site_type_symbol
_atom_site_fract_x
_atom_site_fract_y
_atom_site_fract_z
Pr1 Pr 0.052 0.697 0.250
Pr2 Pr 0.303 0.356 0.250
Pr3 Pr 0.356 0.052 0.750
Pr4 Pr 0.644 0.948 0.250
Pr5 Pr 0.697 0.644 0.750
Pr6 Pr 0.948 0.303 0.750
Ni1 Ni 0.048 0.679 0.750
Ni2 Ni 0.321 0.368 0.750
Ni3 Ni 0.368 0.048 0.250
Ni4 Ni 0.632 0.952 0.750
Ni5 Ni 0.679 0.632 0.250
Ni6 Ni 0.952 0.321 0.250
Sn1 Sn 0.333 0.667 0.750
Sn2 Sn 0.667 0.333 0.250

***

Entry 2:
# Os2RhBr, optimized geometry, DFT PBE
# - raw total energy (eV/atom) = -6.74
# - density of states at the Fermi level (states/eV/cell) = 5.23
# - E above lowest polymorph (eV/atom) = 0.526
data_Os2RhBr
_cell_length_a 2.798
_cell_length_b 4.670
_cell_length_c 4.793
_cell_angle_alpha 90.00
_cell_angle_beta 90.00
_cell_angle_gamma 90.00
_symmetry_space_group_name_H-M 'P 1'
_symmetry_Int_Tables_number 1
_symmetry_space_group_name_Hall 'P 1'
loop_
_atom_site_label
_atom_site_type_symbol
_atom_site_fract_x
_atom_site_fract_y
_atom_site_fract_z
Os1 Os 0.000 0.000 0.000
Os2 Os 0.500 0.500 0.000
Rh1 Rh 0.000 0.500 0.500
Br1 Br 0.500 0.000 0.500

***

Entry 3:
# LaY6Er2, optimized geometry, DFT PBE
# - raw total energy (eV/atom) = -5.84
# - density of states at the Fermi level (states/eV/cell) = 25.17
# - formation enthalpy at 0 K (eV per atom) = 0.028
# - E above lowest polymorph (eV/atom) = 0.000
data_LaY6Er2
_cell_length_a 10.732
_cell_length_b 10.732
_cell_length_c 5.069
_cell_angle_alpha 90.00
_cell_angle_beta 90.00
_cell_angle_gamma 90.00
_symmetry_space_group_name_H-M 'P 1'
_symmetry_Int_Tables_number 1
_symmetry_space_group_name_Hall 'P 1'
loop_
_atom_site_label
_atom_site_type_symbol
_atom_site_fract_x
_atom_site_fract_y
_atom_site_fract_z
La1 La 0.000 0.000 0.000
La2 La 0.500 0.500 0.500
Y1 Y 0.001 0.334 0.000
Y2 Y 0.166 0.501 0.500
Y3 Y 0.169 0.169 0.500
Y4 Y 0.331 0.669 0.000
Y5 Y 0.334 0.001 0.000
Y6 Y 0.499 0.834 0.500
Y7 Y 0.501 0.166 0.500
Y8 Y 0.666 0.999 0.000
Y9 Y 0.669 0.331 0.000
Y10 Y 0.831 0.831 0.500
Y11 Y 0.834 0.499 0.500
Y12 Y 0.999 0.666 0.000
Er1 Er 0.168 0.832 0.500
Er2 Er 0.332 0.332 0.000
Er3 Er 0.668 0.668 0.000
Er4 Er 0.832 0.168 0.500

***

Entry 4:
# NaBe4SbO7, optimized geometry, DFT PBE
# - raw total energy (eV/atom) = -6.10
# - density of states at the Fermi level (states/eV/cell) = 7.71
# - E above lowest polymorph (eV/atom) = 0.472
data_NaBe4SbO7
_cell_length_a 5.743
_cell_length_b 5.743
_cell_length_c 9.324
_cell_angle_alpha 90.00
_cell_angle_beta 90.00
_cell_angle_gamma 120.00
_symmetry_space_group_name_H-M 'P 1'
_symmetry_Int_Tables_number 1
_symmetry_space_group_name_Hall 'P 1'
loop_
_atom_site_label
_atom_site_type_symbol
_atom_site_fract_x
_atom_site_fract_y
_atom_site_fract_z
Na1 Na 0.333 0.667 0.000
Na2 Na 0.667 0.333 0.500
Be1 Be 0.000 0.000 0.061
Be2 Be 0.000 0.000 0.561
Be3 Be 0.160 0.320 0.308
Be4 Be 0.160 0.840 0.308
Be5 Be 0.320 0.160 0.808
Be6 Be 0.680 0.840 0.308
Be7 Be 0.840 0.160 0.808
Be8 Be 0.840 0.680 0.808
Sb1 Sb 0.333 0.667 0.526
Sb2 Sb 0.667 0.333 0.026
O1 O 0.000 0.000 0.383
O2 O 0.000 0.000 0.883
O3 O 0.042 0.521 0.373
O4 O 0.144 0.288 0.139
O5 O 0.144 0.856 0.139
O6 O 0.288 0.144 0.639
O7 O 0.479 0.521 0.373
O8 O 0.479 0.958 0.373
O9 O 0.521 0.042 0.873
O10 O 0.521 0.479 0.873
O11 O 0.712 0.856 0.139
O12 O 0.856 0.144 0.639
O13 O 0.856 0.712 0.639
O14 O 0.958 0.479 0.873

***

Entry 5:
# AcSm3Ho3, optimized geometry, DFT PBE
# - raw total energy (eV/atom) = -4.53
# - density of states at the Fermi level (states/eV/cell) = 39.20
# - formation enthalpy at 0 K (eV per atom) = 0.037
# - E above lowest polymorph (eV/atom) = 0.000
data_AcSm3Ho3
_cell_length_a 8.128
_cell_length_b 10.896
_cell_length_c 10.909
_cell_angle_alpha 93.13
_cell_angle_beta 94.16
_cell_angle_gamma 98.83
_symmetry_space_group_name_H-M 'P 1'
_symmetry_Int_Tables_number 1
_symmetry_space_group_name_Hall 'P 1'
loop_
_atom_site_label
_atom_site_type_symbol
_atom_site_fract_x
_atom_site_fract_y
_atom_site_fract_z
Ac1 Ac 0.000 0.000 0.000
Ac2 Ac 0.038 0.815 0.701
Ac3 Ac 0.256 0.741 0.997
Ac4 Ac 0.785 0.074 0.704
Sm1 Sm 0.293 0.564 0.703
Sm2 Sm 0.325 0.390 0.422
Sm3 Sm 0.363 0.213 0.140
Sm4 Sm 0.397 0.037 0.852
Sm5 Sm 0.433 0.851 0.560
Sm6 Sm 0.468 0.671 0.282
Sm7 Sm 0.504 0.490 0.993
Sm8 Sm 0.824 0.890 0.415
Sm9 Sm 0.853 0.706 0.137
Sm10 Sm 0.891 0.526 0.849
Sm11 Sm 0.933 0.359 0.561
Sm12 Sm 0.964 0.178 0.284
Ho1 Ho 0.074 0.635 0.415
Ho2 Ho 0.106 0.454 0.139
Ho3 Ho 0.149 0.287 0.851
Ho4 Ho 0.188 0.109 0.563
Ho5 Ho 0.220 0.926 0.286
Ho6 Ho 0.535 0.321 0.706
Ho7 Ho 0.570 0.143 0.419
Ho8 Ho 0.606 0.964 0.141
Ho9 Ho 0.643 0.778 0.848
Ho10 Ho 0.679 0.600 0.560
Ho11 Ho 0.718 0.424 0.278
Ho12 Ho 0.749 0.252 0.997

***

Entry 6:
# Sr2SbIr, optimized geometry, DFT PBE
# - raw total energy (eV/atom) = -4.42
# - density of states at the Fermi level (states/eV/cell) = 1.92
data_Sr2SbIr
_cell_length_a 3.532
_cell_length_b 3.532
_cell_length_c 8.847
_cell_angle_alpha 90.00
_cell_angle_beta 90.00
_cell_angle_gamma 90.00
_symmetry_space_group_name_H-M 'P 1'
_symmetry_Int_Tables_number 1
_symmetry_space_group_name_Hall 'P 1'
loop_
_atom_site_label
_atom_site_type_symbol
_atom_site_fract_x
_atom_site_fract_y
_atom_site_fract_z
Sr1 Sr 0.000 0.000 0.213
Sr2 Sr 0.000 0.000 0.787
Sb1 Sb 0.500 0.500 0.500
Ir1 Ir 0.500 0.500 0.000

***

Entry 7:
# Pm8Dy4Pu, optimized geometry, DFT PBE
# - raw total energy (eV/atom) = -4.94
# - density of states at the Fermi level (states/eV/cell) = 20.31
# - formation enthalpy at 0 K (eV per atom) = 0.497
data_Pm8Dy4Pu
_cell_length_a 7.832
_cell_length_b 7.832
_cell_length_c 7.832
_cell_angle_alpha 90.10
_cell_angle_beta 90.10
_cell_angle_gamma 90.10
_symmetry_space_group_name_H-M 'P 1'
_symmetry_Int_Tables_number 1
_symmetry_space_group_name_Hall 'P 1'
loop_
_atom_site_label
_atom_site_type_symbol
_atom_site_fract_x
_atom_site_fract_y
_atom_site_fract_z
Pm1 Pm 0.243 0.243 0.243
Pm2 Pm 0.243 0.243 0.756
Pm3 Pm 0.243 0.756 0.243
Pm4 Pm 0.244 0.757 0.757
Pm5 Pm 0.756 0.243 0.243
Pm6 Pm 0.757 0.244 0.757
Pm7 Pm 0.757 0.757 0.244
Pm8 Pm 0.757 0.757 0.757
Dy1 Dy 0.000 0.000 0.000
Dy2 Dy 0.000 0.500 0.500
Dy3 Dy 0.500 0.000 0.500
Dy4 Dy 0.500 0.500 0.000
Pu1 Pu 0.500 0.500 0.500

***

Entry 8:
# La16Pr7Er6, optimized geometry, DFT PBE
# - raw total energy (eV/atom) = -4.61
# - density of states at the Fermi level (states/eV/cell) = 38.63
# - formation enthalpy at 0 K (eV per atom) = 0.209
data_La16Pr7Er6
_cell_length_a 11.552
_cell_length_b 11.552
_cell_length_c 11.552
_cell_angle_alpha 60.00
_cell_angle_beta 60.00
_cell_angle_gamma 60.00
_symmetry_space_group_name_H-M 'P 1'
_symmetry_Int_Tables_number 1
_symmetry_space_group_name_Hall 'P 1'
loop_
_atom_site_label
_atom_site_type_symbol
_atom_site_fract_x
_atom_site_fract_y
_atom_site_fract_z
La1 La 0.046 0.651 0.651
La2 La 0.125 0.125 0.125
La3 La 0.125 0.125 0.625
La4 La 0.125 0.625 0.125
La5 La 0.349 0.349 0.349
La6 La 0.349 0.349 0.954
La7 La 0.349 0.954 0.349
La8 La 0.375 0.875 0.875
La9 La 0.625 0.125 0.125
La10 La 0.651 0.046 0.651
La11 La 0.651 0.651 0.046
La12 La 0.651 0.651 0.651
La13 La 0.875 0.375 0.875
La14 La 0.875 0.875 0.375
La15 La 0.875 0.875 0.875
La16 La 0.954 0.349 0.349
Pr1 Pr 0.000 0.000 0.000
Pr2 Pr 0.000 0.000 0.500
Pr3 Pr 0.000 0.500 0.000
Pr4 Pr 0.000 0.500 0.500
Pr5 Pr 0.500 0.000 0.000
Pr6 Pr 0.500 0.000 0.500
Pr7 Pr 0.500 0.500 0.000
Er1 Er 0.261 0.261 0.739
Er2 Er 0.261 0.739 0.261
Er3 Er 0.261 0.739 0.739
Er4 Er 0.739 0.261 0.261
Er5 Er 0.739 0.261 0.739
Er6 Er 0.739 0.739 0.261

***

Entry 9:
# TiZnC2, optimized geometry, DFT PBE
# - raw total energy (eV/atom) = -6.13
# - density of states at the Fermi level (states/eV/cell) = 3.93
# - formation enthalpy at 0 K (eV per atom) = 0.769
data_TiZnC2
_cell_length_a 4.951
_cell_length_b 4.951
_cell_length_c 4.951
_cell_angle_alpha 113.97
_cell_angle_beta 113.97
_cell_angle_gamma 100.81
_symmetry_space_group_name_H-M 'P 1'
_symmetry_Int_Tables_number 1
_symmetry_space_group_name_Hall 'P 1'
loop_
_atom_site_label
_atom_site_type_symbol
_atom_site_fract_x
_atom_site_fract_y
_atom_site_fract_z
Ti1 Ti 0.000 0.000 0.000
Ti2 Ti 0.750 0.250 0.500
Zn1 Zn 0.250 0.750 0.500
Zn2 Zn 0.500 0.500 0.000
C1 C 0.129 0.625 0.004
C2 C 0.375 0.379 0.504
C3 C 0.621 0.125 0.996
C4 C 0.875 0.871 0.496

***

Entry 10:
# CrCu4Ni, optimized geometry, DFT PBE
# - raw total energy (eV/atom) = -5.08
# - density of states at the Fermi level (states/eV/cell) = 2.98
# - formation enthalpy at 0 K (eV per atom) = 0.214
data_CrCu4Ni
_cell_length_a 4.752
_cell_length_b 4.752
_cell_length_c 4.752
_cell_angle_alpha 60.00
_cell_angle_beta 60.00
_cell_angle_gamma 60.00
_symmetry_space_group_name_H-M 'P 1'
_symmetry_Int_Tables_number 1
_symmetry_space_group_name_Hall 'P 1'
loop_
_atom_site_label
_atom_site_type_symbol
_atom_site_fract_x
_atom_site_fract_y
_atom_site_fract_z
Cr1 Cr 0.000 0.000 0.000
Cu1 Cu 0.375 0.375 0.375
Cu2 Cu 0.375 0.375 0.874
Cu3 Cu 0.375 0.874 0.375
Cu4 Cu 0.874 0.375 0.375
Ni1 Ni 0.750 0.750 0.750

***

Entry 11:
# Co2MoP, optimized geometry, DFT PBE
# - raw total energy (eV/atom) = -7.71
# - density of states at the Fermi level (states/eV/cell) = 3.40
# - formation enthalpy at 0 K (eV per atom) = -0.093
data_Co2MoP
_cell_length_a 4.058
_cell_length_b 4.058
_cell_length_c 4.058
_cell_angle_alpha 60.00
_cell_angle_beta 60.00
_cell_angle_gamma 60.00
_symmetry_space_group_name_H-M 'P 1'
_symmetry_Int_Tables_number 1
_symmetry_space_group_name_Hall 'P 1'
loop_
_atom_site_label
_atom_site_type_symbol
_atom_site_fract_x
_atom_site_fract_y
_atom_site_fract_z
Co1 Co 0.000 0.000 0.000
Co2 Co 0.250 0.250 0.250
Mo1 Mo 0.500 0.500 0.500
P1 P 0.750 0.750 0.750

***

Entry 12:
# Lu2ScFe, optimized geometry, DFT PBE
# - raw total energy (eV/atom) = -5.92
# - density of states at the Fermi level (states/eV/cell) = 4.38
# - formation enthalpy at 0 K (eV per atom) = 0.037
data_Lu2ScFe
_cell_length_a 3.284
_cell_length_b 3.284
_cell_length_c 8.303
_cell_angle_alpha 90.00
_cell_angle_beta 90.00
_cell_angle_gamma 90.00
_symmetry_space_group_name_H-M 'P 1'
_symmetry_Int_Tables_number 1
_symmetry_space_group_name_Hall 'P 1'
loop_
_atom_site_label
_atom_site_type_symbol
_atom_site_fract_x
_atom_site_fract_y
_atom_site_fract_z
Lu1 Lu 0.000 0.000 0.189
Lu2 Lu 0.000 0.000 0.811
Sc1 Sc 0.500 0.500 0.500
Fe1 Fe 0.500 0.500 0.000

***

The highest raw total energy belongs to which entry? Sr2SbIr